Entry 1:
{"formula": "NpTl3I2F6", "functional": "GGA-PBE", "state": "relaxed", "lattice_angstrom": [[5.4197, 0.0000, -0.0695], [0.0000, 8.0906, 0.0000], [-1.0135, -4.0453, 8.6014]], "species": ["Tl", "Tl", "F", "I", "F", "Tl", "F", "F", "Np", "F", "F", "I"], "frac_coords": [[0.5000, 0.5000, 0.5000], [0.0000, 0.5000, 0.0000], [0.4372, 0.1182, 0.2364], [0.0197, 0.3020, 0.6041], [0.5628, 0.8818, 0.7636], [0.5000, 0.0000, 0.5000], [0.7581, 0.8379, 0.0521], [0.2419, 0.1621, 0.9479], [0.5000, 0.0000, 0.0000], [0.7581, 0.2142, 0.0521], [0.2419, 0.7858, 0.9479], [0.9803, 0.6980, 0.3959]], "total_magnetization_mub_per_fu": 2.082, "raw_formation_energy_kj_per_mol_atoms": -210.4, "vol_a3_per_atom": 31.4, "e_tot_ev_per_atom": -5.045}

=====

Entry 2:
{"formula": "Pm2CI", "functional": "GGA-PBE", "state": "relaxed", "lattice_angstrom": [[3.8540, 0.0000, 0.0000], [1.9270, 3.3376, 0.0000], [1.9270, 1.1125, 7.7248]], "species": ["Pm", "Pm", "C", "I"], "frac_coords": [[0.2754, 0.2754, 0.1739], [0.0577, 0.0577, 0.8269], [0.6675, 0.6675, 0.9974], [0.4994, 0.4994, 0.5018]], "total_magnetization_mub_per_fu": 0.000, "raw_formation_energy_kj_per_mol_atoms": -68.3, "vol_a3_per_atom": 24.8, "de_polymorph_ev_per_atom": 0.004, "e_tot_ev_per_atom": -5.777}

=====

Entry 3:
{"formula": "TbPm2Ga2Pt7", "functional": "GGA-PBE", "state": "relaxed", "lattice_angstrom": [[-3.4399, -1.5696, 1.5740], [1.9136, -0.7450, 3.5436], [-4.2371, 11.8213, 6.5676]], "species": ["Tb", "Pm", "Pt", "Pt", "Ga", "Pt", "Pt", "Pt", "Pt", "Pm", "Pt", "Ga"], "frac_coords": [[0.0000, 0.0000, 0.0000], [0.1192, 0.1192, 0.6441], [0.3639, 0.3639, 0.4311], [0.6361, 0.6361, 0.5689], [0.5953, 0.5953, 0.7443], [0.9428, 0.4429, 0.1533], [0.0572, 0.5571, 0.8467], [0.5571, 0.0572, 0.8467], [0.4429, 0.9428, 0.1533], [0.8808, 0.8808, 0.3559], [0.5000, 0.5000, 0.0000], [0.4047, 0.4047, 0.2557]], "total_magnetization_mub_per_fu": 0.000, "vol_a3_per_atom": 19.6, "formation_energy_ev_per_fu": -11.83, "e_tot_ev_per_atom": -6.192}

=====

Entry 4:
{"formula": "KZr2Ru", "functional": "GGA-PBE", "state": "relaxed", "lattice_angstrom": [[-2.3151, -0.5715, -2.0089], [2.7893, 0.3216, -1.3559], [1.7245, -10.6106, 1.0310]], "species": ["Zr", "Zr", "Ru", "K"], "frac_coords": [[0.5000, 0.5000, 0.2092], [0.0000, 0.0000, 0.9649], [0.5000, 0.5000, 0.7910], [0.0000, 0.0000, 0.5349]], "total_magnetization_mub_per_fu": 0.000, "vol_a3_per_atom": 24.0, "formation_energy_ev_per_fu": 1.59, "de_polymorph_ev_per_atom": 0.250, "e_tot_ev_per_atom": -6.471}

=====

Entry 5:
{"formula": "YRu2Au", "functional": "GGA-PBE", "state": "relaxed", "lattice_angstrom": [[-2.7162, 2.5827, -2.7994], [-4.4840, 0.7304, 1.1158], [-1.4072, 4.2449, 1.3729]], "species": ["Y", "Ru", "Au", "Ru"], "frac_coords": [[0.7500, 0.7500, 0.7500], [0.0000, 0.0000, 0.0000], [0.5000, 0.5000, 0.5000], [0.2500, 0.2500, 0.2500]], "total_magnetization_mub_per_fu": 1.700, "vol_a3_per_atom": 18.1, "formation_energy_ev_per_fu": 0.38, "de_polymorph_ev_per_atom": 0.142, "e_tot_ev_per_atom": -6.979}

=====

Entry 6:
{"formula": "Be3BiI", "functional": "GGA-PBE", "state": "relaxed", "lattice_angstrom": [[-2.0315, -1.8929, -3.9326], [-3.8661, -1.2324, 2.5904], [-2.0253, 4.2513, -1.0001]], "species": ["Be", "Bi", "I", "Be", "Be"], "frac_coords": [[0.5000, 0.0000, 0.0000], [0.5000, 0.5000, 0.5000], [0.0000, 0.0000, 0.0000], [0.0000, 0.0000, 0.5000], [0.0000, 0.5000, 0.0000]], "total_magnetization_mub_per_fu": 0.000, "raw_formation_energy_kj_per_mol_atoms": 134.8, "vol_a3_per_atom": 22.3, "de_polymorph_ev_per_atom": 0.242, "e_tot_ev_per_atom": -1.925}

=====

Entry 7:
{"formula": "ZnOsCl2", "functional": "GGA-PBE", "state": "relaxed", "lattice_angstrom": [[2.9071, 0.0000, 0.0000], [0.0000, 5.6370, 0.0000], [0.0000, 0.0000, 4.1642]], "species": ["Zn", "Os", "Cl", "Cl"], "frac_coords": [[0.0000, 0.5000, 0.5000], [0.5000, 0.0000, 0.5000], [0.5000, 0.5000, 0.0000], [0.0000, 0.0000, 0.0000]], "total_magnetization_mub_per_fu": 0.000, "raw_formation_energy_kj_per_mol_atoms": 66.2, "vol_a3_per_atom": 17.1, "de_polymorph_ev_per_atom": 0.696, "e_tot_ev_per_atom": -3.363}

=====

Entry 8:
{"formula": "ScUIrPd", "functional": "GGA-PBE", "state": "relaxed", "lattice_angstrom": [[4.7778, 0.0000, 0.0000], [2.3889, 4.1377, 0.0000], [2.3889, 1.3792, 3.9011]], "species": ["Pd", "U", "Ir", "Sc"], "frac_coords": [[0.5000, 0.5000, 0.5000], [0.7500, 0.7500, 0.7500], [0.0000, 0.0000, 0.0000], [0.2500, 0.2500, 0.2500]], "total_magnetization_mub_per_fu": 2.574, "vol_a3_per_atom": 19.3, "formation_energy_ev_per_fu": -2.18, "e_tot_ev_per_atom": -8.463}

=====

Entry 9:
{"formula": "KBeCu", "functional": "GGA-PBE", "state": "relaxed", "lattice_angstrom": [[5.1910, 0.0000, 0.0000], [2.5955, 4.4956, 0.0000], [2.5955, 1.4985, 4.2385]], "species": ["K", "Cu", "Be"], "frac_coords": [[0.7500, 0.7500, 0.7500], [0.5000, 0.5000, 0.5000], [0.0000, 0.0000, 0.0000]], "total_magnetization_mub_per_fu": 0.000, "vol_a3_per_atom": 33.0, "formation_energy_ev_per_fu": 4.38, "de_polymorph_ev_per_atom": 1.020, "e_tot_ev_per_atom": -1.512}

=====

Entry 10:
{"formula": "Ac2LuPb", "functional": "GGA-PBE", "state": "relaxed", "lattice_angstrom": [[-1.4495, -0.0915, 3.3703], [-2.3231, -2.6859, 0.9260], [8.6457, -8.0900, 5.4970]], "species": ["Ac", "Lu", "Ac", "Pb"], "frac_coords": [[0.9091, 0.9091, 0.2726], [0.0000, 0.0000, 0.0000], [0.0909, 0.0909, 0.7274], [0.5000, 0.5000, 0.5000]], "total_magnetization_mub_per_fu": 0.000, "vol_a3_per_atom": 37.6, "formation_energy_ev_per_fu": 0.59, "de_polymorph_ev_per_atom": 0.343, "e_tot_ev_per_atom": -3.965}

=====

Entry 11:
{"formula": "NaTlSn2", "functional": "GGA-PBE", "state": "relaxed", "lattice_angstrom": [[-2.0416, 0.9703, -2.3019], [2.1536, -3.5320, -3.3989], [-4.2823, -4.4577, 1.9190]], "species": ["Sn", "Tl", "Na", "Sn"], "frac_coords": [[0.5000, 0.0000, 0.2437], [0.0000, 0.5000, 0.5000], [0.0000, 0.5000, 0.0000], [0.5000, 0.0000, 0.7563]], "total_magnetization_mub_per_fu": 0.000, "vol_a3_per_atom": 27.9, "formation_energy_ev_per_fu": -0.26, "de_polymorph_ev_per_atom": 0.025, "e_tot_ev_per_atom": -2.988}

=====

Entry 12:
{"formula": "KZr2CdIr", "functional": "GGA-PBE", "state": "relaxed", "lattice_angstrom": [[5.3407, 0.0000, 0.0000], [0.0000, 5.0497, 0.0000], [0.0000, 0.0000, 5.3407]], "species": ["Zr", "Cd", "Zr", "Ir", "K"], "frac_coords": [[0.0000, 0.0000, 0.5000], [0.0000, 0.0000, 0.0000], [0.5000, 0.0000, 0.0000], [0.0000, 0.5000, 0.0000], [0.5000, 0.5000, 0.5000]], "total_magnetization_mub_per_fu": 0.004, "vol_a3_per_atom": 28.8, "formation_energy_ev_per_fu": 6.56, "e_tot_ev_per_atom": -4.281}